[1]
Entry from Alexandria via LeMat-Bulk: a relaxed Si2Mo3 crystal (PBE).

abc: 2.8642 2.8642 31.4726
angles: 90.00 90.00 120.00
Space group R-3m (No. 166, hexagonal axes)
Asymmetric unit:
Si1 0.0000 0.0000 0.1002 x6
Mo1 0.0000 0.0000 0.2978 x6
Mo2 0.0000 0.0000 0.5000 x3

## Properties
Crystal system ... trigonal
Magnetization ... 0.00 μB per formula unit
ΔE to the lowest computed polymorph ... 338 meV/atom

[2]
Entry from Alexandria via LeMat-Bulk: a relaxed SiMo crystal (PBE).

abc: 4.8786 4.8786 4.8786
angles: 90.00 90.00 90.00
Space group P2_13 (No. 198)
Asymmetric unit:
Si1 0.0979 0.0979 0.0979 x4
Mo1 0.1129 0.6129 0.8871 x4

## Properties
Crystal system ... cubic
Magnetization ... 0.00 μB per formula unit

[3]
Entry from Alexandria via LeMat-Bulk: a relaxed Si2Mo crystal (PBE).

abc: 2.7367 4.7306 6.8877
angles: 90.00 90.00 90.00
Space group Immm (No. 71)
Asymmetric unit:
Si1 0.0000 0.0000 0.1795 x4
Mo1 0.0000 0.5000 0.0000 x2

## Properties
Crystal system ... orthorhombic
Magnetization ... 0.00 μB per formula unit

[4]
Entry from Alexandria via LeMat-Bulk: a relaxed Si3Mo5 crystal (PBE).

abc: 9.6806 9.6806 4.9327
angles: 90.00 90.00 90.00
Space group I4/mcm (No. 140)
Asymmetric unit:
Si1 0.0000 0.0000 0.2500 x4
Si2 0.1672 0.3328 0.0000 x8
Mo1 0.0000 0.5000 0.2500 x4
Mo2 0.0767 0.2240 0.5000 x16

## Properties
Crystal system ... tetragonal
Magnetization ... 0.00 μB per formula unit
ΔE to the lowest computed polymorph ... 0 meV/atom

[5]
Entry from Alexandria via LeMat-Bulk: a relaxed Si2Mo crystal (PBE).

abc: 5.9926 5.9926 5.1604
angles: 90.00 90.00 90.00
Space group I4/mcm (No. 140)
Asymmetric unit:
Si1 0.1414 0.3586 0.0000 x8
Mo1 0.0000 0.0000 0.2500 x4

## Properties
Crystal system ... tetragonal
Magnetization ... 0.00 μB per formula unit

[6]
Entry from Alexandria via LeMat-Bulk: a relaxed SiMo crystal (PBE).

abc: 4.3068 4.3068 7.5723
angles: 90.00 90.00 120.00
Space group P6_3/mmc (No. 194)
Asymmetric unit:
Si1 0.0000 0.0000 0.2500 x2
Si2 0.3333 0.6667 0.2500 x2
Mo1 0.3333 0.6667 0.5793 x4

## Properties
Crystal system ... hexagonal
Magnetization ... 0.00 μB per formula unit

[7]
Entry from Alexandria via LeMat-Bulk: a relaxed Si3Mo crystal (PBE).

abc: 3.2766 3.2766 5.1366
angles: 90.00 90.00 90.00
Space group P4/mmm (No. 123)
Asymmetric unit:
Si1 0.0000 0.0000 0.0000 x1
Si2 0.5000 0.5000 0.2421 x2
Mo1 0.0000 0.0000 0.5000 x1

## Properties
Crystal system ... tetragonal
Magnetization ... 0.00 μB per formula unit
ΔE to the lowest computed polymorph ... 103 meV/atom

[8]
Entry from Alexandria via LeMat-Bulk: a relaxed Si5Mo crystal (PBE).

abc: 4.6465 4.6465 4.4947
angles: 90.00 90.00 120.00
Space group P-62m (No. 189)
Asymmetric unit:
Si1 0.0000 0.6780 0.0000 x3
Si2 0.3333 0.6667 0.5000 x2
Mo1 0.0000 0.0000 0.5000 x1

## Properties
Crystal system ... hexagonal
Magnetization ... 0.00 μB per formula unit
ΔE to the lowest computed polymorph ... 3 meV/atom

[9]
Entry from Alexandria via LeMat-Bulk: a relaxed Si4Mo crystal (PBE).

abc: 4.7371 4.7371 4.7371
angles: 90.00 90.00 90.00
Space group Pm-3m (No. 221)
Asymmetric unit:
Si1 0.0000 0.0000 0.0000 x1
Si2 0.0000 0.5000 0.5000 x3
Mo1 0.5000 0.5000 0.5000 x1

## Properties
Crystal system ... cubic
Magnetization ... 0.00 μB per formula unit
ΔE to the lowest computed polymorph ... 591 meV/atom

[10]
Entry from Alexandria via LeMat-Bulk: a relaxed SiMo3 crystal (PBE).

abc: 4.9129 4.9129 4.9129
angles: 90.00 90.00 90.00
Space group Pm-3n (No. 223)
Asymmetric unit:
Si1 0.0000 0.0000 0.0000 x2
Mo1 0.0000 0.2500 0.5000 x6

## Properties
Crystal system ... cubic
Magnetization ... 0.00 μB per formula unit
ΔE to the lowest computed polymorph ... 0 meV/atom

[11]
Entry from Alexandria via LeMat-Bulk: a relaxed SiMo crystal (PBE).

abc: 4.0759 14.0961 3.0991
angles: 90.00 90.00 90.00
Space group Cmmm (No. 65)
Asymmetric unit:
Si1 0.0000 0.0000 0.0000 x2
Si2 0.0000 0.3107 0.5000 x4
Mo1 0.0000 0.1672 0.0000 x4
Mo2 0.0000 0.5000 0.5000 x2

## Properties
Crystal system ... orthorhombic
Magnetization ... 0.00 μB per formula unit

[12]
Entry from Alexandria via LeMat-Bulk: a relaxed SiMo crystal (PBE).

abc: 3.4834 3.4834 9.6622
angles: 90.00 90.00 90.00
Space group I4_1/amd (No. 141, origin choice 2)
Asymmetric unit:
Si1 0.0000 0.2500 0.3750 x4
Mo1 0.0000 0.2500 0.8750 x4

## Properties
Crystal system ... tetragonal
Magnetization ... 0.00 μB per formula unit

For each record above, in turn, the calculated raw formation energy values are 0.062, -0.372, 0.136, -0.411, -0.118, 0.145, -0.038, 0.153, 0.899, -0.325, -0.136, -0.066 eV per atom.